Entry 1:
# ScBRh | the Alexandria database | PBE-GGA | relaxed
data_ScBRh
_symmetry_space_group_name_H-M 'P 1'
_symmetry_Int_Tables_number 1
_symmetry_space_group_name_Hall 'P 1'
_cell_length_a 4.816
_cell_length_b 4.816
_cell_length_c 5.998
_cell_angle_alpha 106.48
_cell_angle_beta 106.48
_cell_angle_gamma 38.48
loop_
_atom_site_label
_atom_site_type_symbol
_atom_site_fract_x
_atom_site_fract_y
_atom_site_fract_z
Sc1 Sc 0.000 0.000 0.000
Sc2 Sc 0.500 0.500 0.500
B1 B 0.199 0.199 0.420
B2 B 0.801 0.801 0.580
Rh1 Rh 0.252 0.252 0.793
Rh2 Rh 0.748 0.748 0.207
# Energy of formation from the pure elements (eV/atom): -0.669
# Magnetic moment (μB/cell): 0.00
# Excess energy over the best structure of this formula in the dataset (eV/atom): 0.051

***

Entry 2:
# Sc3BRh | the Alexandria database | PBE-GGA | relaxed
data_Sc3BRh
_symmetry_space_group_name_H-M 'P 1'
_symmetry_Int_Tables_number 1
_symmetry_space_group_name_Hall 'P 1'
_cell_length_a 4.895
_cell_length_b 4.895
_cell_length_c 4.895
_cell_angle_alpha 90.00
_cell_angle_beta 90.00
_cell_angle_gamma 90.00
loop_
_atom_site_label
_atom_site_type_symbol
_atom_site_fract_x
_atom_site_fract_y
_atom_site_fract_z
Sc1 Sc 0.000 0.000 0.500
Sc2 Sc 0.000 0.500 0.000
Sc3 Sc 0.500 0.000 0.000
B1 B 0.500 0.500 0.500
Rh1 Rh 0.000 0.000 0.000
# Energy of formation from the pure elements (eV/atom): 0.560
# Magnetic moment (μB/cell): 0.00
# Excess energy over the best structure of this formula in the dataset (eV/atom): 0.761

***

Entry 3:
# Sc3B2Rh5 | the Alexandria database | PBE-GGA | relaxed
data_Sc3B2Rh5
_symmetry_space_group_name_H-M 'P 1'
_symmetry_Int_Tables_number 1
_symmetry_space_group_name_Hall 'P 1'
_cell_length_a 9.489
_cell_length_b 9.489
_cell_length_c 3.127
_cell_angle_alpha 90.00
_cell_angle_beta 90.00
_cell_angle_gamma 90.00
loop_
_atom_site_label
_atom_site_type_symbol
_atom_site_fract_x
_atom_site_fract_y
_atom_site_fract_z
Sc1 Sc 0.000 0.000 0.000
Sc2 Sc 0.175 0.325 0.000
Sc3 Sc 0.325 0.825 0.000
Sc4 Sc 0.500 0.500 0.000
Sc5 Sc 0.675 0.175 0.000
Sc6 Sc 0.825 0.675 0.000
B1 B 0.124 0.624 0.000
B2 B 0.376 0.124 0.000
B3 B 0.624 0.876 0.000
B4 B 0.876 0.376 0.000
Rh1 Rh 0.000 0.500 0.500
Rh2 Rh 0.072 0.777 0.500
Rh3 Rh 0.223 0.072 0.500
Rh4 Rh 0.277 0.572 0.500
Rh5 Rh 0.428 0.277 0.500
Rh6 Rh 0.500 0.000 0.500
Rh7 Rh 0.572 0.723 0.500
Rh8 Rh 0.723 0.428 0.500
Rh9 Rh 0.777 0.928 0.500
Rh10 Rh 0.928 0.223 0.500
# Energy of formation from the pure elements (eV/atom): -0.886
# Magnetic moment (μB/cell): 0.00

***

Entry 4:
# ScB3Rh | the Alexandria database | PBE-GGA | relaxed
data_ScB3Rh
_symmetry_space_group_name_H-M 'P 1'
_symmetry_Int_Tables_number 1
_symmetry_space_group_name_Hall 'P 1'
_cell_length_a 4.098
_cell_length_b 4.098
_cell_length_c 4.098
_cell_angle_alpha 90.00
_cell_angle_beta 90.00
_cell_angle_gamma 90.00
loop_
_atom_site_label
_atom_site_type_symbol
_atom_site_fract_x
_atom_site_fract_y
_atom_site_fract_z
Sc1 Sc 0.000 0.000 0.000
B1 B 0.000 0.000 0.500
B2 B 0.000 0.500 0.000
B3 B 0.500 0.000 0.000
Rh1 Rh 0.500 0.500 0.500
# Energy of formation from the pure elements (eV/atom): 2.131
# Magnetic moment (μB/cell): 0.00
# Excess energy over the best structure of this formula in the dataset (eV/atom): 1.575

***

Entry 5:
# ScB2Rh | the Alexandria database | PBE-GGA | relaxed
data_ScB2Rh
_symmetry_space_group_name_H-M 'P 1'
_symmetry_Int_Tables_number 1
_symmetry_space_group_name_Hall 'P 1'
_cell_length_a 3.970
_cell_length_b 3.970
_cell_length_c 3.970
_cell_angle_alpha 60.00
_cell_angle_beta 60.00
_cell_angle_gamma 60.00
loop_
_atom_site_label
_atom_site_type_symbol
_atom_site_fract_x
_atom_site_fract_y
_atom_site_fract_z
Sc1 Sc 0.000 0.000 0.000
B1 B 0.250 0.250 0.250
B2 B 0.750 0.750 0.750
Rh1 Rh 0.500 0.500 0.500
# Energy of formation from the pure elements (eV/atom): -0.113
# Magnetic moment (μB/cell): 0.00
# Excess energy over the best structure of this formula in the dataset (eV/atom): 0.134

***

Entry 6:
# ScBRh | the Alexandria database | PBE-GGA | relaxed
data_ScBRh
_symmetry_space_group_name_H-M 'P 1'
_symmetry_Int_Tables_number 1
_symmetry_space_group_name_Hall 'P 1'
_cell_length_a 4.834
_cell_length_b 4.834
_cell_length_c 4.834
_cell_angle_alpha 40.96
_cell_angle_beta 40.96
_cell_angle_gamma 40.96
loop_
_atom_site_label
_atom_site_type_symbol
_atom_site_fract_x
_atom_site_fract_y
_atom_site_fract_z
Sc1 Sc 0.000 0.000 0.000
B1 B 0.786 0.786 0.786
Rh1 Rh 0.502 0.502 0.502
# Energy of formation from the pure elements (eV/atom): -0.668
# Magnetic moment (μB/cell): 0.00
# Excess energy over the best structure of this formula in the dataset (eV/atom): 0.052

***

Entry 7:
# ScB3Rh | the Alexandria database | PBE-GGA | relaxed
data_ScB3Rh
_symmetry_space_group_name_H-M 'P 1'
_symmetry_Int_Tables_number 1
_symmetry_space_group_name_Hall 'P 1'
_cell_length_a 4.014
_cell_length_b 4.014
_cell_length_c 4.014
_cell_angle_alpha 90.00
_cell_angle_beta 90.00
_cell_angle_gamma 90.00
loop_
_atom_site_label
_atom_site_type_symbol
_atom_site_fract_x
_atom_site_fract_y
_atom_site_fract_z
Sc1 Sc 0.000 0.000 0.000
B1 B 0.000 0.500 0.500
B2 B 0.500 0.000 0.500
B3 B 0.500 0.500 0.000
Rh1 Rh 0.500 0.500 0.500
# Energy of formation from the pure elements (eV/atom): 0.556
# Magnetic moment (μB/cell): 0.00
# Excess energy over the best structure of this formula in the dataset (eV/atom): 0.000

***

Entry 8:
# ScBRh6 | the Alexandria database | PBE-GGA | relaxed
data_ScBRh6
_symmetry_space_group_name_H-M 'P 1'
_symmetry_Int_Tables_number 1
_symmetry_space_group_name_Hall 'P 1'
_cell_length_a 5.054
_cell_length_b 5.054
_cell_length_c 5.054
_cell_angle_alpha 102.58
_cell_angle_beta 102.58
_cell_angle_gamma 102.58
loop_
_atom_site_label
_atom_site_type_symbol
_atom_site_fract_x
_atom_site_fract_y
_atom_site_fract_z
Sc1 Sc 0.000 0.000 0.000
B1 B 0.500 0.500 0.500
Rh1 Rh 0.214 0.214 0.619
Rh2 Rh 0.214 0.619 0.214
Rh3 Rh 0.381 0.786 0.786
Rh4 Rh 0.619 0.214 0.214
Rh5 Rh 0.786 0.381 0.786
Rh6 Rh 0.786 0.786 0.381
# Energy of formation from the pure elements (eV/atom): -0.161
# Magnetic moment (μB/cell): 0.00

***

Entry 9:
# ScB3Rh6 | the Alexandria database | PBE-GGA | relaxed
data_ScB3Rh6
_symmetry_space_group_name_H-M 'P 1'
_symmetry_Int_Tables_number 1
_symmetry_space_group_name_Hall 'P 1'
_cell_length_a 5.955
_cell_length_b 5.955
_cell_length_c 5.955
_cell_angle_alpha 54.75
_cell_angle_beta 54.75
_cell_angle_gamma 54.75
loop_
_atom_site_label
_atom_site_type_symbol
_atom_site_fract_x
_atom_site_fract_y
_atom_site_fract_z
Sc1 Sc 0.000 0.000 0.000
B1 B 0.240 0.240 0.240
B2 B 0.577 0.577 0.577
B3 B 0.776 0.776 0.776
Rh1 Rh 0.008 0.529 0.480
Rh2 Rh 0.183 0.488 0.834
Rh3 Rh 0.480 0.008 0.529
Rh4 Rh 0.488 0.834 0.183
Rh5 Rh 0.529 0.480 0.008
Rh6 Rh 0.834 0.183 0.488
# Energy of formation from the pure elements (eV/atom): -0.432
# Magnetic moment (μB/cell): 0.00

***

Entry 10:
# ScBRh | the Alexandria database | PBE-GGA | relaxed
data_ScBRh
_symmetry_space_group_name_H-M 'P 1'
_symmetry_Int_Tables_number 1
_symmetry_space_group_name_Hall 'P 1'
_cell_length_a 4.989
_cell_length_b 4.989
_cell_length_c 5.676
_cell_angle_alpha 107.59
_cell_angle_beta 107.59
_cell_angle_gamma 40.49
loop_
_atom_site_label
_atom_site_type_symbol
_atom_site_fract_x
_atom_site_fract_y
_atom_site_fract_z
Sc1 Sc 0.000 0.000 0.000
Sc2 Sc 0.640 0.640 0.618
B1 B 0.286 0.286 0.936
B2 B 0.394 0.394 0.240
Rh1 Rh 0.348 0.348 0.589
Rh2 Rh 0.758 0.758 0.183
# Energy of formation from the pure elements (eV/atom): -0.599
# Magnetic moment (μB/cell): 0.00
# Excess energy over the best structure of this formula in the dataset (eV/atom): 0.122

***

Entry 11:
# Sc2BRh4 | the Alexandria database | PBE-GGA | relaxed
data_Sc2BRh4
_symmetry_space_group_name_H-M 'P 1'
_symmetry_Int_Tables_number 1
_symmetry_space_group_name_Hall 'P 1'
_cell_length_a 7.200
_cell_length_b 7.200
_cell_length_c 7.200
_cell_angle_alpha 146.90
_cell_angle_beta 146.90
_cell_angle_gamma 47.52
loop_
_atom_site_label
_atom_site_type_symbol
_atom_site_fract_x
_atom_site_fract_y
_atom_site_fract_z
Sc1 Sc 0.145 0.145 0.000
Sc2 Sc 0.855 0.855 0.000
B1 B 0.500 0.500 0.000
Rh1 Rh 0.000 0.500 0.500
Rh2 Rh 0.341 0.341 0.000
Rh3 Rh 0.500 0.000 0.500
Rh4 Rh 0.659 0.659 0.000
# Energy of formation from the pure elements (eV/atom): -0.580
# Magnetic moment (μB/cell): 0.00

***

Entry 12:
# ScBRh | the Alexandria database | PBE-GGA | relaxed
data_ScBRh
_symmetry_space_group_name_H-M 'P 1'
_symmetry_Int_Tables_number 1
_symmetry_space_group_name_Hall 'P 1'
_cell_length_a 3.161
_cell_length_b 7.745
_cell_length_c 7.745
_cell_angle_alpha 24.74
_cell_angle_beta 90.00
_cell_angle_gamma 90.00
loop_
_atom_site_label
_atom_site_type_symbol
_atom_site_fract_x
_atom_site_fract_y
_atom_site_fract_z
Sc1 Sc 0.000 0.000 0.000
Sc2 Sc 0.000 0.212 0.212
B1 B 0.000 0.830 0.830
B2 B 0.500 0.780 0.780
Rh1 Rh 0.500 0.377 0.377
Rh2 Rh 0.500 0.600 0.600
# Energy of formation from the pure elements (eV/atom): -0.703
# Magnetic moment (μB/cell): 0.00
# Excess energy over the best structure of this formula in the dataset (eV/atom): 0.017

***

Entry 13:
# ScBRh | the Alexandria database | PBE-GGA | relaxed
data_ScBRh
_symmetry_space_group_name_H-M 'P 1'
_symmetry_Int_Tables_number 1
_symmetry_space_group_name_Hall 'P 1'
_cell_length_a 5.641
_cell_length_b 5.641
_cell_length_c 6.128
_cell_angle_alpha 90.00
_cell_angle_beta 90.00
_cell_angle_gamma 123.18
loop_
_atom_site_label
_atom_site_type_symbol
_atom_site_fract_x
_atom_site_fract_y
_atom_site_fract_z
Sc1 Sc 0.180 0.820 0.914
Sc2 Sc 0.320 0.680 0.414
Sc3 Sc 0.680 0.320 0.586
Sc4 Sc 0.820 0.180 0.086
B1 B 0.084 0.916 0.542
B2 B 0.416 0.584 0.042
B3 B 0.584 0.416 0.958
B4 B 0.916 0.084 0.458
Rh1 Rh 0.196 0.304 0.750
Rh2 Rh 0.304 0.196 0.250
Rh3 Rh 0.696 0.804 0.750
Rh4 Rh 0.804 0.696 0.250
# Energy of formation from the pure elements (eV/atom): -0.720
# Magnetic moment (μB/cell): 0.00
# Excess energy over the best structure of this formula in the dataset (eV/atom): 0.000

***

Entry 14:
# ScBRh | the Alexandria database | PBE-GGA | relaxed
data_ScBRh
_symmetry_space_group_name_H-M 'P 1'
_symmetry_Int_Tables_number 1
_symmetry_space_group_name_Hall 'P 1'
_cell_length_a 5.139
_cell_length_b 5.139
_cell_length_c 7.101
_cell_angle_alpha 129.33
_cell_angle_beta 129.33
_cell_angle_gamma 36.13
loop_
_atom_site_label
_atom_site_type_symbol
_atom_site_fract_x
_atom_site_fract_y
_atom_site_fract_z
Sc1 Sc 0.000 0.000 0.000
Sc2 Sc 0.541 0.541 0.647
B1 B 0.298 0.298 0.966
B2 B 0.510 0.510 0.271
Rh1 Rh 0.207 0.207 0.533
Rh2 Rh 0.810 0.810 0.192
# Energy of formation from the pure elements (eV/atom): -0.611
# Magnetic moment (μB/cell): 0.00
# Excess energy over the best structure of this formula in the dataset (eV/atom): 0.109

***

Entry 15:
# ScB2Rh | the Alexandria database | PBE-GGA | relaxed
data_ScB2Rh
_symmetry_space_group_name_H-M 'P 1'
_symmetry_Int_Tables_number 1
_symmetry_space_group_name_Hall 'P 1'
_cell_length_a 7.904
_cell_length_b 7.904
_cell_length_c 7.904
_cell_angle_alpha 152.28
_cell_angle_beta 152.28
_cell_angle_gamma 39.61
loop_
_atom_site_label
_atom_site_type_symbol
_atom_site_fract_x
_atom_site_fract_y
_atom_site_fract_z
Sc1 Sc 0.375 0.625 0.750
Sc2 Sc 0.625 0.375 0.250
B1 B 0.000 0.000 0.000
B2 B 0.000 0.000 0.500
B3 B 0.000 0.500 0.000
B4 B 0.500 0.000 0.500
Rh1 Rh 0.125 0.875 0.250
Rh2 Rh 0.875 0.125 0.750
# Energy of formation from the pure elements (eV/atom): -0.248
# Magnetic moment (μB/cell): 0.00
# Excess energy over the best structure of this formula in the dataset (eV/atom): 0.000

***

Entry 16:
# ScB2Rh4 | the Alexandria database | PBE-GGA | relaxed
data_ScB2Rh4
_symmetry_space_group_name_H-M 'P 1'
_symmetry_Int_Tables_number 1
_symmetry_space_group_name_Hall 'P 1'
_cell_length_a 5.258
_cell_length_b 5.427
_cell_length_c 7.183
_cell_angle_alpha 95.73
_cell_angle_beta 108.60
_cell_angle_gamma 105.08
loop_
_atom_site_label
_atom_site_type_symbol
_atom_site_fract_x
_atom_site_fract_y
_atom_site_fract_z
Sc1 Sc 0.000 0.000 0.000
Sc2 Sc 0.150 0.637 0.536
B1 B 0.069 0.450 0.862
B2 B 0.381 0.235 0.511
B3 B 0.581 0.163 0.104
B4 B 0.715 0.806 0.461
Rh1 Rh 0.331 0.238 0.813
Rh2 Rh 0.366 0.912 0.295
Rh3 Rh 0.449 0.771 0.946
Rh4 Rh 0.453 0.431 0.268
Rh5 Rh 0.715 0.592 0.684
Rh6 Rh 0.726 0.107 0.676
Rh7 Rh 0.888 0.487 0.076
Rh8 Rh 0.937 0.097 0.354
# Energy of formation from the pure elements (eV/atom): -0.499
# Magnetic moment (μB/cell): 0.00

***

Entry 17:
# ScBRh | the Alexandria database | PBE-GGA | relaxed
data_ScBRh
_symmetry_space_group_name_H-M 'P 1'
_symmetry_Int_Tables_number 1
_symmetry_space_group_name_Hall 'P 1'
_cell_length_a 3.109
_cell_length_b 3.677
_cell_length_c 7.434
_cell_angle_alpha 90.00
_cell_angle_beta 90.00
_cell_angle_gamma 90.00
loop_
_atom_site_label
_atom_site_type_symbol
_atom_site_fract_x
_atom_site_fract_y
_atom_site_fract_z
Sc1 Sc 0.000 0.000 0.000
Sc2 Sc 0.500 0.000 0.500
B1 B 0.000 0.500 0.390
B2 B 0.000 0.500 0.610
Rh1 Rh 0.500 0.500 0.194
Rh2 Rh 0.500 0.500 0.806
# Energy of formation from the pure elements (eV/atom): -0.644
# Magnetic moment (μB/cell): 0.00
# Excess energy over the best structure of this formula in the dataset (eV/atom): 0.076

***

Entry 18:
# Sc2BRh6 | the Alexandria database | PBE-GGA | relaxed
data_Sc2BRh6
_symmetry_space_group_name_H-M 'P 1'
_symmetry_Int_Tables_number 1
_symmetry_space_group_name_Hall 'P 1'
_cell_length_a 7.767
_cell_length_b 7.767
_cell_length_c 2.910
_cell_angle_alpha 100.75
_cell_angle_beta 100.75
_cell_angle_gamma 54.46
loop_
_atom_site_label
_atom_site_type_symbol
_atom_site_fract_x
_atom_site_fract_y
_atom_site_fract_z
Sc1 Sc 0.138 0.138 0.134
Sc2 Sc 0.862 0.862 0.866
B1 B 0.500 0.500 0.500
Rh1 Rh 0.135 0.519 0.328
Rh2 Rh 0.293 0.707 0.000
Rh3 Rh 0.481 0.865 0.672
Rh4 Rh 0.519 0.135 0.328
Rh5 Rh 0.707 0.293 0.000
Rh6 Rh 0.865 0.481 0.672
# Energy of formation from the pure elements (eV/atom): -0.314
# Magnetic moment (μB/cell): 0.00

***

Entry 19:
# ScBRh4 | the Alexandria database | PBE-GGA | relaxed
data_ScBRh4
_symmetry_space_group_name_H-M 'P 1'
_symmetry_Int_Tables_number 1
_symmetry_space_group_name_Hall 'P 1'
_cell_length_a 3.771
_cell_length_b 3.771
_cell_length_c 6.512
_cell_angle_alpha 90.10
_cell_angle_beta 90.10
_cell_angle_gamma 90.00
loop_
_atom_site_label
_atom_site_type_symbol
_atom_site_fract_x
_atom_site_fract_y
_atom_site_fract_z
Sc1 Sc 0.000 0.000 0.000
B1 B 0.500 0.500 0.500
Rh1 Rh 0.000 0.499 0.700
Rh2 Rh 0.000 0.501 0.300
Rh3 Rh 0.499 0.000 0.700
Rh4 Rh 0.501 0.000 0.300
# Energy of formation from the pure elements (eV/atom): -0.098
# Magnetic moment (μB/cell): 0.00

***

Entry 20:
# Sc3BRh | the Alexandria database | PBE-GGA | relaxed
data_Sc3BRh
_symmetry_space_group_name_H-M 'P 1'
_symmetry_Int_Tables_number 1
_symmetry_space_group_name_Hall 'P 1'
_cell_length_a 4.552
_cell_length_b 4.552
_cell_length_c 4.552
_cell_angle_alpha 90.00
_cell_angle_beta 90.00
_cell_angle_gamma 90.00
loop_
_atom_site_label
_atom_site_type_symbol
_atom_site_fract_x
_atom_site_fract_y
_atom_site_fract_z
Sc1 Sc 0.000 0.000 0.500
Sc2 Sc 0.000 0.500 0.000
Sc3 Sc 0.500 0.000 0.000
B1 B 0.000 0.000 0.000
Rh1 Rh 0.500 0.500 0.500
# Energy of formation from the pure elements (eV/atom): -0.201
# Magnetic moment (μB/cell): 0.00
# Excess energy over the best structure of this formula in the dataset (eV/atom): 0.000